First-principles (PBE) data for a relaxed structure of LaYSi4Ni2, as listed in OQMD via LeMat-Bulk.

- Calculated total energy: -50.82 eV/f.u.
- Theoretical density: 5.55 g/cm3
- Magnetic moment: 0.00 Bohr magnetons per cell

a b c (Å): 4.1092 4.0400 8.5008
angles (deg): 90.00 103.95 90.00
With the nearest neighbours (Å) after each atom.
Atoms (fractional coordinates):
La (0.0000, 0.0000, 0.0000)  10 Si 3.09-3.20, 4 Ni 3.13-3.14
Y (0.7870, 0.5000, 0.5738)  10 Si 3.07-3.16, 4 Ni 3.11-3.12
Si (0.1452, 0.5000, 0.2924)  4 Ni 2.32-2.37
Si (0.3516, 0.0000, 0.7032)  1 Ni 2.25, 2 Si 2.42
Si (0.4316, 0.5000, 0.8640)  1 Ni 2.36, 2 Si 2.42
Si (0.6490, 0.0000, 0.2929)  4 Ni 2.34-2.35
Ni (0.2175, 0.0000, 0.4301)  5 Si 2.25-2.35
Ni (0.5742, 0.5000, 0.1505)  5 Si 2.34-2.37

***

First-principles (PBE) data for a relaxed structure of Y4Ta2P3N3, as listed in OQMD via LeMat-Bulk.

- Calculated total energy: -105.30 eV/f.u.
- Theoretical density: 7.24 g/cm3
- Magnetic moment: 0.02 Bohr magnetons per cell

a b c (Å): 6.0440 6.0440 12.7909
angles (deg): 103.71 103.71 60.44
With the nearest neighbours (Å) after each atom.
Atoms (fractional coordinates):
Y (0.0432, 0.1983, 0.1093)  3 N 2.43-2.49
Y (0.1233, 0.2963, 0.3907)  3 N 2.45-2.47
Y (0.1983, 0.0432, 0.6093)  3 N 2.43-2.49
Y (0.2963, 0.1233, 0.8907)  3 N 2.45-2.47
Y (0.7037, 0.8767, 0.1093)  3 N 2.45-2.47
Y (0.8017, 0.9568, 0.3907)  3 N 2.43-2.49
Y (0.8767, 0.7037, 0.6093)  3 N 2.45-2.47
Y (0.9568, 0.8017, 0.8907)  3 N 2.43-2.49
Ta (0.3623, 0.5307, 0.0892)  3 N 2.20-2.29
Ta (0.4693, 0.6377, 0.4108)  3 N 2.20-2.29
Ta (0.5307, 0.3623, 0.5892)  3 N 2.20-2.29
Ta (0.6377, 0.4693, 0.9108)  3 N 2.20-2.29
P (0.1303, 0.8697, 0.2500)  2 Ta 2.63, 4 Y 2.76-2.77
P (0.2939, 0.4176, 0.7523)  2 Ta 2.62-2.67, 4 Y 2.76-2.79
P (0.4176, 0.2939, 0.2523)  2 Ta 2.62-2.67, 4 Y 2.76-2.79
P (0.5824, 0.7061, 0.7477)  2 Ta 2.62-2.67, 4 Y 2.76-2.79
P (0.7061, 0.5824, 0.2477)  2 Ta 2.62-2.67, 4 Y 2.76-2.79
P (0.8697, 0.1303, 0.7500)  2 Ta 2.63, 4 Y 2.76-2.77
N (0.0000, 0.5000, 0.0000)  2 Ta 2.29, 4 Y 2.43-2.45
N (0.1898, 0.6554, 0.5003)  2 Ta 2.20-2.22, 2 Y 2.44-2.45
N (0.3446, 0.8102, 0.9997)  2 Ta 2.20-2.22, 2 Y 2.44-2.45
N (0.5000, 0.0000, 0.5000)  2 Ta 2.29, 4 Y 2.43-2.45
N (0.6554, 0.1898, 0.0003)  2 Ta 2.20-2.22, 2 Y 2.44-2.45
N (0.8102, 0.3446, 0.4997)  2 Ta 2.20-2.22, 2 Y 2.44-2.45

***

First-principles (PBE) data for a relaxed structure of YHoZr2P2, as listed in OQMD via LeMat-Bulk.

- Calculated total energy: -45.28 eV/f.u.
- Theoretical density: 6.63 g/cm3
- Magnetic moment: 0.01 Bohr magnetons per cell

a b c (Å): 8.2542 8.2542 8.2542
angles (deg): 151.87 151.87 40.20
With the nearest neighbours (Å) after each atom.
Atoms (fractional coordinates):
Y (0.0000, 0.0000, 0.0000)  5 P 2.93-2.94
Ho (0.3570, 0.3570, 0.0000)  5 P 2.93-2.95
Zr (0.1790, 0.6790, 0.5000)  4 Zr 2.84, 4 P 2.86
Zr (0.6790, 0.1790, 0.5000)  4 Zr 2.84, 4 P 2.86
P (0.5473, 0.5473, 0.0000)  4 Zr 2.86, 4 Y 2.93, 1 Ho 2.95
P (0.8103, 0.8103, 0.0000)  4 Zr 2.86, 4 Ho 2.93, 1 Y 2.94

***

First-principles (PBE) data for a relaxed structure of LaErOs, as listed in OQMD via LeMat-Bulk.

- Calculated total energy: -18.94 eV/f.u.
- Theoretical density: 10.81 g/cm3
- Energy of formation from the pure elements: 57 kJ per mole of atoms
- Magnetic moment: 0.00 Bohr magnetons per cell
- Energy relative to the lowest polymorph listed for this composition: 0.0 meV/atom

a b c (Å): 4.7599 4.7599 4.7599
angles (deg): 60.00 60.00 60.00
With the nearest neighbours (Å) after each atom.
Atoms (fractional coordinates):
La (0.0000, 0.0000, 0.0000)  4 Er 2.91
Er (0.2500, 0.2500, 0.2500)  4 La 2.91, 4 Os 2.91
Os (0.5000, 0.5000, 0.5000)  4 Er 2.91

***

First-principles (PBE) data for a relaxed structure of CdBiNO, as listed in OQMD via LeMat-Bulk.

- Calculated total energy: -18.90 eV/f.u.
- Theoretical density: 8.31 g/cm3
- Energy relative to the lowest polymorph listed for this composition: 20.8 meV/atom

a b c (Å): 3.9516 5.8514 6.0717
angles (deg): 90.00 90.00 90.00
With the nearest neighbours (Å) after each atom.
Atoms (fractional coordinates):
Cd (0.0000, 0.2175, 0.0000)  2 O 2.25-2.34, 2 N 2.26
Cd (0.0000, 0.7825, 0.5000)  2 O 2.25-2.34, 2 N 2.26
Bi (0.5000, 0.2771, 0.4735)  2 N 2.18-2.34, 2 O 2.31
Bi (0.5000, 0.7229, 0.9735)  2 N 2.18-2.34, 2 O 2.31
N (0.5000, 0.3740, 0.0997)  2 Bi 2.18-2.34, 2 Cd 2.26
N (0.5000, 0.6260, 0.5997)  2 Bi 2.18-2.34, 2 Cd 2.26
O (0.0000, 0.1578, 0.6347)  2 Cd 2.25-2.34, 2 Bi 2.31
O (0.0000, 0.8422, 0.1347)  2 Cd 2.25-2.34, 2 Bi 2.31

***

First-principles (PBE) data for a relaxed structure of PaFeAu, as listed in OQMD via LeMat-Bulk.

- Calculated total energy: -19.46 eV/f.u.
- Theoretical density: 11.88 g/cm3
- Energy of formation from the pure elements: 52 kJ per mole of atoms
- Magnetic moment: 0.45 Bohr magnetons per cell

a b c (Å): 4.5730 4.5730 4.5730
angles (deg): 60.00 60.00 60.00
With the nearest neighbours (Å) after each atom.
Atoms (fractional coordinates):
Pa (0.0000, 0.0000, 0.0000)  4 Fe 2.80, 4 Au 2.80
Fe (0.2500, 0.2500, 0.2500)  4 Pa 2.80
Au (0.7500, 0.7500, 0.7500)  4 Pa 2.80

***

First-principles (PBE) data for a relaxed structure of KLuTc, as listed in OQMD via LeMat-Bulk.

- Calculated total energy: -11.77 eV/f.u.
- Theoretical density: 5.88 g/cm3
- Magnetic moment: 1.20 Bohr magnetons per cell
- Energy relative to the lowest polymorph listed for this composition: 0.0 meV/atom

a b c (Å): 4.9950 4.9950 4.9950
angles (deg): 60.00 60.00 60.00
With the nearest neighbours (Å) after each atom.
Atoms (fractional coordinates):
K (0.0000, 0.0000, 0.0000)  4 Tc 3.06
Lu (0.5000, 0.5000, 0.5000)  4 Tc 3.06
Tc (0.2500, 0.2500, 0.2500)  4 K 3.06, 4 Lu 3.06

***

First-principles (PBE) data for a relaxed structure of HoNpBe, as listed in OQMD via LeMat-Bulk.

- Calculated total energy: -18.97 eV/f.u.
- Theoretical density: 9.78 g/cm3
- Magnetic moment: 4.44 Bohr magnetons per cell
- Energy relative to the lowest polymorph listed for this composition: 0.0 meV/atom

a b c (Å): 4.6217 4.6217 4.6217
angles (deg): 60.00 60.00 60.00
With the nearest neighbours (Å) after each atom.
Atoms (fractional coordinates):
Ho (0.0000, 0.0000, 0.0000)  4 Be 2.83
Np (0.5000, 0.5000, 0.5000)  4 Be 2.83
Be (0.2500, 0.2500, 0.2500)  4 Ho 2.83, 4 Np 2.83

***

First-principles (PBE) data for a relaxed structure of PPtS3, as listed in OQMD via LeMat-Bulk.

- Calculated total energy: -24.34 eV/f.u.
- Theoretical density: 5.21 g/cm3
- Magnetic moment: 0.00 Bohr magnetons per cell

a b c (Å): 6.3001 6.0809 11.0669
angles (deg): 90.00 104.09 90.00
With the nearest neighbours (Å) after each atom.
Atoms (fractional coordinates):
P (0.1301, 0.0980, 0.0585)  3 S 2.03-2.23, 1 P 2.18
P (0.1301, 0.4020, 0.5585)  3 S 2.03-2.23, 1 P 2.18
P (0.8699, 0.5980, 0.4415)  3 S 2.03-2.23, 1 P 2.18
P (0.8699, 0.9020, 0.9415)  3 S 2.03-2.23, 1 P 2.18
Pt (0.3193, 0.6176, 0.3185)  4 S 2.34-2.38
Pt (0.3193, 0.8824, 0.8185)  4 S 2.34-2.38
Pt (0.6807, 0.1176, 0.1815)  4 S 2.34-2.38
Pt (0.6807, 0.3824, 0.6815)  4 S 2.34-2.38
S (0.0498, 0.6676, 0.8808)  1 P 2.03
S (0.0498, 0.8324, 0.3808)  1 P 2.03
S (0.2888, 0.2057, 0.9299)  1 P 2.04
S (0.2888, 0.2943, 0.4299)  1 P 2.04
S (0.3673, 0.5398, 0.7238)  1 P 2.23, 2 Pt 2.34-2.38
S (0.3673, 0.9602, 0.2238)  1 P 2.23, 2 Pt 2.34-2.38
S (0.6327, 0.0398, 0.7762)  1 P 2.23, 2 Pt 2.34-2.38
S (0.6327, 0.4602, 0.2762)  1 P 2.23, 2 Pt 2.34-2.38
S (0.7112, 0.7057, 0.5701)  1 P 2.04
S (0.7112, 0.7943, 0.0701)  1 P 2.04
S (0.9502, 0.1676, 0.6192)  1 P 2.03
S (0.9502, 0.3324, 0.1192)  1 P 2.03

***

First-principles (PBE) data for a relaxed structure of NbInCoCu, as listed in OQMD via LeMat-Bulk.

- Calculated total energy: -22.78 eV/f.u.
- Theoretical density: 8.96 g/cm3
- Magnetic moment: 0.04 Bohr magnetons per cell
- Energy relative to the lowest polymorph listed for this composition: 235.1 meV/atom

a b c (Å): 4.4235 4.4235 4.4235
angles (deg): 60.00 60.00 60.00
With the nearest neighbours (Å) after each atom.
Atoms (fractional coordinates):
Nb (0.0000, 0.0000, 0.0000)  4 In 2.71, 4 Co 2.71
In (0.2500, 0.2500, 0.2500)  4 Cu 2.71, 4 Nb 2.71
Co (0.7500, 0.7500, 0.7500)  4 Nb 2.71, 4 Cu 2.71
Cu (0.5000, 0.5000, 0.5000)  4 Co 2.71, 4 In 2.71

***

First-principles (PBE) data for a relaxed structure of TaRe2W2, as listed in OQMD via LeMat-Bulk.

- Calculated total energy: -59.44 eV/f.u.
- Theoretical density: 16.55 g/cm3
- Energy of formation from the pure elements: 61 kJ per mole of atoms
- Magnetic moment: 0.01 Bohr magnetons per cell
- Energy relative to the lowest polymorph listed for this composition: 0.0 meV/atom

a b c (Å): 6.1047 6.1047 6.1047
angles (deg): 140.19 140.19 57.56
With the nearest neighbours (Å) after each atom.
Atoms (fractional coordinates):
Ta (0.0000, 0.0000, 0.0000)  8 Re 3.18, 8 W 3.39
Re (0.3867, 0.3867, 0.0000)  1 Re 2.42, 4 W 2.54
Re (0.6133, 0.6133, 0.0000)  1 Re 2.42, 4 W 2.54
W (0.2500, 0.7500, 0.5000)  4 Re 2.54
W (0.7500, 0.2500, 0.5000)  4 Re 2.54